Record 1
Compound: NiHg2As
Source: the Alexandria database
Functional: PBE
Structure: optimized geometry

Calculated values
Calculated formation energy, eV/atom: 0.326
Crystal system: tetragonal
Total magnetic moment, μB/f.u.: 0.00

Unit cell a=2.9717 b=2.9717 c=8.7014 alpha=90.00 beta=90.00 gamma=89.97
Last column: nearest neighbours and their distance in Å.
Positions (direct):
As  0.5000  0.5000  0.7500  4 As 2.97, 8 Hg 3.31
Hg  0.0000  0.0000  0.0443  4 Ni 2.76, 4 Hg 2.97
Hg  0.0000  0.0000  0.4557  4 Ni 2.76, 4 Hg 2.97
Ni  0.5000  0.5000  0.2500  8 Hg 2.76, 4 Ni 2.97

=====

Record 2
Compound: NiHg2As
Source: the Alexandria database
Functional: PBE
Structure: optimized geometry

Calculated values
Calculated formation energy, eV/atom: 0.360
Crystal system: trigonal
Total magnetic moment, μB/f.u.: 0.00

Unit cell a=8.9519 b=8.9519 c=8.9519 alpha=20.57 beta=20.57 gamma=20.57
Last column: nearest neighbours and their distance in Å.
Positions (direct):
As  0.7500  0.7500  0.7500  6 Hg 3.07, 6 As 3.20
Hg  0.9901  0.9901  0.9901  3 Ni 2.67
Hg  0.5099  0.5099  0.5099  3 Ni 2.67
Ni  0.2500  0.2500  0.2500  6 Hg 2.67

=====

Record 3
Compound: Ni4HgAs
Source: the Alexandria database
Functional: PBE
Structure: optimized geometry

Calculated values
Calculated formation energy, eV/atom: 0.222
Crystal system: cubic
Total magnetic moment, μB/f.u.: 0.00

Unit cell a=4.8767 b=4.8767 c=4.8767 alpha=60.00 beta=60.00 gamma=60.00
Last column: nearest neighbours and their distance in Å.
Positions (direct):
Ni  0.8742  0.3753  0.3753  6 Ni 2.43-2.44
Ni  0.3753  0.3753  0.8742  6 Ni 2.43-2.44
Ni  0.3753  0.8742  0.3753  6 Ni 2.43-2.44
Ni  0.3753  0.3753  0.3753  6 Ni 2.43-2.44
Hg  0.0000  0.0000  0.0000  12 Ni 2.86, 4 As 2.99
As  0.7500  0.7500  0.7500  12 Ni 2.86, 4 Hg 2.99

=====

Record 4
Compound: NiHgAs2
Source: the Alexandria database
Functional: PBE
Structure: optimized geometry

Calculated values
Calculated formation energy, eV/atom: 0.155
Crystal system: monoclinic
Total magnetic moment, μB/f.u.: 0.00

Unit cell a=3.4202 b=3.1874 c=7.0761 alpha=89.93 beta=90.00 gamma=90.00
Last column: nearest neighbours and their distance in Å.
Positions (direct):
As  0.0000  0.0003  0.9472  4 Ni 2.47
As  0.5000  0.4979  0.1875  1 Ni 2.49
Hg  0.0000  0.5011  0.5296  2 Ni 2.76, 2 As 2.96
Ni  0.5000  0.5008  0.8357  5 As 2.47-2.49, 2 Hg 2.76

=====

Record 5
Compound: NiHgAs2
Source: the Alexandria database
Functional: PBE
Structure: optimized geometry

Calculated values
Calculated formation energy, eV/atom: 0.337
Crystal system: orthorhombic
Total magnetic moment, μB/f.u.: 0.00

Unit cell a=4.5943 b=4.5943 c=4.6875 alpha=70.11 beta=70.11 gamma=107.91
Last column: nearest neighbours and their distance in Å.
Positions (direct):
As  0.0000  0.0000  0.0000  2 Ni 2.67, 2 Hg 2.67, 2 As 2.70
As  0.5000  0.5000  0.0000  2 Hg 2.67, 2 Ni 2.67, 2 As 2.70
Hg  0.5000  0.0000  0.5000  4 As 2.67, 2 Ni 2.70
Ni  0.0000  0.5000  0.5000  4 As 2.67, 2 Hg 2.70

=====

Record 6
Compound: NiHg2As
Source: the Alexandria database
Functional: PBE
Structure: optimized geometry

Calculated values
Calculated formation energy, eV/atom: 0.390
Crystal system: tetragonal
Total magnetic moment, μB/f.u.: 0.00

Unit cell a=5.2650 b=5.2650 c=5.2650 alpha=133.62 beta=133.62 gamma=67.68
Last column: nearest neighbours and their distance in Å.
Positions (direct):
As  0.7500  0.2500  0.5000  8 Hg 2.93-3.01, 4 Ni 3.01
Hg  0.0000  0.0000  0.0000  4 Ni 2.93, 4 Hg 3.01, 4 As 3.01
Hg  0.2500  0.7500  0.5000  4 As 2.93, 4 Hg 3.01, 4 Ni 3.01
Ni  0.5000  0.5000  0.0000  8 Hg 2.93-3.01, 4 As 3.01

=====

Record 7
Compound: NiHgAs2
Source: the Alexandria database
Functional: PBE
Structure: optimized geometry

Calculated values
Calculated formation energy, eV/atom: 0.044
Crystal system: trigonal
Total magnetic moment, μB/f.u.: 0.00

Unit cell a=9.9928 b=9.9928 c=9.9928 alpha=17.74 beta=17.74 gamma=17.74
Last column: nearest neighbours and their distance in Å.
Positions (direct):
As  0.0270  0.0270  0.0270  3 Ni 2.44
As  0.4730  0.4730  0.4730  3 Ni 2.44
Hg  0.2500  0.2500  0.2500  6 Hg 3.08
Ni  0.7500  0.7500  0.7500  6 As 2.44

=====

Record 8
Compound: NiHg2As
Source: the Alexandria database
Functional: PBE
Structure: optimized geometry

Calculated values
Calculated formation energy, eV/atom: 0.358
Crystal system: monoclinic
Total magnetic moment, μB/f.u.: 0.00

Unit cell a=4.3696 b=4.3779 c=4.3623 alpha=80.76 beta=90.00 gamma=90.00
Last column: nearest neighbours and their distance in Å.
Positions (direct):
As  0.5000  0.7500  0.7500  2 Ni 2.83, 4 Hg 2.84
Hg  0.0000  0.0232  0.0234  2 Ni 2.66, 2 As 2.84, 2 Hg 2.85
Hg  0.0000  0.4768  0.4766  2 Ni 2.66, 2 As 2.84, 2 Hg 2.85
Ni  0.5000  0.2500  0.2500  4 Hg 2.66, 2 As 2.83